(1)
A plane-wave DFT calculation with PBE was carried out for a relaxed CoRuW crystal.

Calculated values
The density of states at the Fermi level comes out at 5.81 states/eV per cell. The total magnetization is 0.000 μB per formula unit. For the energy above the most stable polymorph in this dataset, the calculation gives 0 meV/atom.

a = 4.7795 Å, b = 4.7795 Å, c = 4.7795 Å
α = 121.13°, β = 102.74°, γ = 105.22°
Positions (direct):
Co 0.0000 0.0000 0.0000
Co 0.0000 0.5000 0.5000
Ru 0.2022 0.1055 0.5968
Ru 0.5087 0.6055 0.4032
W 0.4970 0.8994 0.0976
W 0.8018 0.3994 0.9024

(2)
A plane-wave DFT calculation with PBE was carried out for a relaxed CoRu2W2 crystal.

Calculated values
The density of states at the Fermi level comes out at 5.82 states/eV per cell. The total magnetization is 1.645 μB per formula unit. The electronic total energy is -47.2 eV/f.u.

a = 6.6987 Å, b = 6.6987 Å, c = 6.6987 Å
α = 148.33°, β = 148.33°, γ = 45.40°
Positions (direct):
Co 0.0000 0.0000 0.0000
Ru 0.2500 0.7500 0.5000
Ru 0.7500 0.2500 0.5000
W 0.3969 0.3969 0.0000
W 0.6031 0.6031 0.0000

(3)
A plane-wave DFT calculation with PBE was carried out for a relaxed CoRu3W crystal.

Calculated values
The density of states at the Fermi level comes out at 6.59 states/eV per cell. The total magnetization is 3.504 μB per formula unit. For the energy above the most stable polymorph in this dataset, the calculation gives 0 meV/atom.

a = 4.3393 Å, b = 4.3393 Å, c = 4.3393 Å
α = 90.00°, β = 90.00°, γ = 90.00°
Positions (direct):
Co 0.0000 0.0000 0.0000
Ru 0.0000 0.0000 0.5000
Ru 0.0000 0.5000 0.0000
Ru 0.5000 0.0000 0.0000
W 0.5000 0.5000 0.5000

(4)
A plane-wave DFT calculation with PBE was carried out for a relaxed CoRuW crystal.

Calculated values
The density of states at the Fermi level comes out at 2.96 states/eV per cell. The total magnetization is 1.313 μB per formula unit. For the energy above the most stable polymorph in this dataset, the calculation gives 135 meV/atom.

a = 5.9313 Å, b = 5.9313 Å, c = 5.9313 Å
α = 153.73°, β = 153.73°, γ = 37.50°
Positions (direct):
Co 0.0000 0.0000 0.0000
Ru 0.3452 0.3452 0.0000
W 0.6638 0.6638 0.0000

(5)
A plane-wave DFT calculation with PBE was carried out for a relaxed CoRuW crystal.

Calculated values
The density of states at the Fermi level comes out at 6.65 states/eV per cell. The total magnetization is 0.000 μB per formula unit. For the energy above the most stable polymorph in this dataset, the calculation gives 97 meV/atom.

a = 4.6668 Å, b = 4.6668 Å, c = 5.0510 Å
α = 117.24°, β = 117.24°, γ = 61.14°
Positions (direct):
Co 0.0000 0.0000 0.0000
Co 0.8533 0.1467 0.5000
Ru 0.3579 0.2858 0.0027
Ru 0.7142 0.6421 0.9973
W 0.1897 0.5025 0.5452
W 0.4975 0.8103 0.4548

(6)
A plane-wave DFT calculation with PBE was carried out for a relaxed CoRuW crystal.

Calculated values
The density of states at the Fermi level comes out at 3.80 states/eV per cell. The total magnetization is 0.515 μB per formula unit. For the energy above the most stable polymorph in this dataset, the calculation gives 148 meV/atom.

a = 4.2185 Å, b = 4.2185 Å, c = 2.6795 Å
α = 90.00°, β = 90.00°, γ = 120.00°
Positions (direct):
Co 0.0000 0.0000 0.0000
Ru 0.3333 0.6667 0.4754
W 0.6667 0.3333 0.8918

(7)
A plane-wave DFT calculation with PBE was carried out for a relaxed Co2RuW crystal.

Calculated values
The density of states at the Fermi level comes out at 5.14 states/eV per cell. The total magnetization is 1.401 μB per formula unit. For the energy above the most stable polymorph in this dataset, the calculation gives 138 meV/atom.

a = 4.5196 Å, b = 4.5196 Å, c = 4.5259 Å
α = 99.68°, β = 99.68°, γ = 34.37°
Positions (direct):
Co 0.0000 0.0000 0.0000
Co 0.7450 0.7450 0.2392
Ru 0.4904 0.4904 0.4699
W 0.2513 0.2513 0.7556

(8)
A plane-wave DFT calculation with PBE was carried out for a relaxed Co2RuW crystal.

Calculated values
The density of states at the Fermi level comes out at 5.48 states/eV per cell. The total magnetization is 1.410 μB per formula unit. For the energy above the most stable polymorph in this dataset, the calculation gives 182 meV/atom.

a = 2.6532 Å, b = 2.6532 Å, c = 7.2723 Å
α = 90.00°, β = 90.00°, γ = 90.00°
Positions (direct):
Co 0.0000 0.0000 0.2439
Co 0.0000 0.0000 0.7561
Ru 0.5000 0.5000 0.0000
W 0.5000 0.5000 0.5000

(9)
A plane-wave DFT calculation with PBE was carried out for a relaxed CoRuW crystal.

Calculated values
The density of states at the Fermi level comes out at 4.09 states/eV per cell. The total magnetization is 0.551 μB per formula unit. For the energy above the most stable polymorph in this dataset, the calculation gives 642 meV/atom.

a = 4.0164 Å, b = 4.0164 Å, c = 4.0164 Å
α = 60.00°, β = 60.00°, γ = 60.00°
Positions (direct):
Co 0.0000 0.0000 0.0000
Ru 0.2500 0.2500 0.2500
W 0.7500 0.7500 0.7500

(10)
A plane-wave DFT calculation with PBE was carried out for a relaxed CoRuW crystal.

Calculated values
The density of states at the Fermi level comes out at 3.99 states/eV per cell. The total magnetization is 1.311 μB per formula unit. For the energy above the most stable polymorph in this dataset, the calculation gives 98 meV/atom.

a = 4.6511 Å, b = 4.6511 Å, c = 4.6511 Å
α = 145.82°, β = 132.77°, γ = 59.58°
Positions (direct):
Co 0.0000 0.0000 0.0000
Ru 0.6597 0.6597 0.0000
W 0.3335 0.3335 0.0000

(11)
A plane-wave DFT calculation with PBE was carried out for a relaxed CoRuW crystal.

Calculated values
The density of states at the Fermi level comes out at 6.07 states/eV per cell. The total magnetization is 0.000 μB per formula unit. For the energy above the most stable polymorph in this dataset, the calculation gives 109 meV/atom.

a = 4.7194 Å, b = 4.7194 Å, c = 5.0839 Å
α = 118.16°, β = 118.16°, γ = 59.44°
Positions (direct):
Co 0.1722 0.1722 0.0043
Co 0.8278 0.8278 0.9957
Ru 0.5142 0.4858 0.0000
Ru 0.6737 0.3263 0.5000
W 0.0076 0.6794 0.5238
W 0.3206 0.9924 0.4762

(12)
A plane-wave DFT calculation with PBE was carried out for a relaxed Co2RuW2 crystal.

Calculated values
The density of states at the Fermi level comes out at 7.62 states/eV per cell. The total magnetization is 0.000 μB per formula unit. The electronic total energy is -49.0 eV/f.u.

a = 6.6944 Å, b = 6.6944 Å, c = 2.9966 Å
α = 90.00°, β = 90.00°, γ = 90.00°
Positions (direct):
Co 0.1250 0.3750 0.0000
Co 0.3750 0.8750 0.0000
Co 0.6250 0.1250 0.0000
Co 0.8750 0.6250 0.0000
Ru 0.0000 0.0000 0.0000
Ru 0.5000 0.5000 0.0000
W 0.1765 0.6765 0.5000
W 0.3235 0.1765 0.5000
W 0.6765 0.8235 0.5000
W 0.8235 0.3235 0.5000

(13)
A plane-wave DFT calculation with PBE was carried out for a relaxed CoRuW3 crystal.

Calculated values
The density of states at the Fermi level comes out at 6.90 states/eV per cell. The total magnetization is 0.000 μB per formula unit. For the energy above the most stable polymorph in this dataset, the calculation gives 785 meV/atom.

a = 4.6413 Å, b = 4.6413 Å, c = 4.6413 Å
α = 90.00°, β = 90.00°, γ = 90.00°
Positions (direct):
Co 0.0000 0.0000 0.0000
Ru 0.5000 0.5000 0.5000
W 0.0000 0.5000 0.5000
W 0.5000 0.0000 0.5000
W 0.5000 0.5000 0.0000

(14)
A plane-wave DFT calculation with PBE was carried out for a relaxed Co2Ru2W crystal.

Calculated values
The density of states at the Fermi level comes out at 12.48 states/eV per cell. The total magnetization is 0.000 μB per formula unit. For the energy above the most stable polymorph in this dataset, the calculation gives 0 meV/atom.

a = 6.9403 Å, b = 6.9403 Å, c = 2.7109 Å
α = 90.00°, β = 90.00°, γ = 90.00°
Positions (direct):
Co 0.1195 0.3805 0.0000
Co 0.3805 0.8805 0.0000
Co 0.6195 0.1195 0.0000
Co 0.8805 0.6195 0.0000
Ru 0.1756 0.6756 0.5000
Ru 0.3244 0.1756 0.5000
Ru 0.6756 0.8244 0.5000
Ru 0.8244 0.3244 0.5000
W 0.0000 0.0000 0.0000
W 0.5000 0.5000 0.0000

(15)
A plane-wave DFT calculation with PBE was carried out for a relaxed Co2RuW crystal.

Calculated values
The density of states at the Fermi level comes out at 3.58 states/eV per cell. The total magnetization is 0.000 μB per formula unit. For the energy above the most stable polymorph in this dataset, the calculation gives 0 meV/atom.

a = 3.6871 Å, b = 3.6871 Å, c = 3.7158 Å
α = 90.00°, β = 90.00°, γ = 90.00°
Positions (direct):
Co 0.0000 0.5000 0.0000
Co 0.5000 0.0000 0.0000
Ru 0.0000 0.0000 0.5000
W 0.5000 0.5000 0.5000

(16)
A plane-wave DFT calculation with PBE was carried out for a relaxed CoRuW crystal.

Calculated values
The density of states at the Fermi level comes out at 7.15 states/eV per cell. The total magnetization is 0.544 μB per formula unit. For the energy above the most stable polymorph in this dataset, the calculation gives 70 meV/atom.

a = 4.6452 Å, b = 4.6452 Å, c = 4.6702 Å
α = 100.24°, β = 100.24°, γ = 119.92°
Positions (direct):
Co 0.0000 0.0000 0.0000
Co 0.8188 0.1812 0.5000
Ru 0.1433 0.8567 0.5000
Ru 0.3286 0.6714 0.0000
W 0.4771 0.5229 0.5000
W 0.6774 0.3226 0.0000

(17)
A plane-wave DFT calculation with PBE was carried out for a relaxed CoRuW3 crystal.

Calculated values
The density of states at the Fermi level comes out at 6.84 states/eV per cell. The total magnetization is 0.000 μB per formula unit. For the energy above the most stable polymorph in this dataset, the calculation gives 0 meV/atom.

a = 4.4046 Å, b = 4.4046 Å, c = 4.4046 Å
α = 90.00°, β = 90.00°, γ = 90.00°
Positions (direct):
Co 0.0000 0.0000 0.0000
Ru 0.5000 0.5000 0.5000
W 0.0000 0.0000 0.5000
W 0.0000 0.5000 0.0000
W 0.5000 0.0000 0.0000

(18)
A plane-wave DFT calculation with PBE was carried out for a relaxed Co2RuW crystal.

Calculated values
The density of states at the Fermi level comes out at 5.79 states/eV per cell. The total magnetization is 2.208 μB per formula unit. For the energy above the most stable polymorph in this dataset, the calculation gives 196 meV/atom.

a = 4.5364 Å, b = 4.5364 Å, c = 4.5724 Å
α = 100.22°, β = 100.22°, γ = 34.46°
Positions (direct):
Co 0.2474 0.2474 0.2445
Co 0.7526 0.7526 0.7555
Ru 0.5000 0.5000 0.0000
W 0.0000 0.0000 0.5000

(19)
A plane-wave DFT calculation with PBE was carried out for a relaxed Co2RuW crystal.

Calculated values
The density of states at the Fermi level comes out at 11.89 states/eV per cell. The total magnetization is 0.001 μB per formula unit. For the energy above the most stable polymorph in this dataset, the calculation gives 663 meV/atom.

a = 5.2959 Å, b = 5.2959 Å, c = 5.2959 Å
α = 103.52°, β = 103.52°, γ = 122.18°
Positions (direct):
Co 0.1171 0.6250 0.9921
Co 0.3750 0.3671 0.4921
Co 0.6329 0.1250 0.0079
Co 0.8750 0.8829 0.5079
Ru 0.2500 0.7500 0.5000
Ru 0.5000 0.5000 0.0000
W 0.0000 0.0000 0.0000
W 0.7500 0.2500 0.5000

(20)
A plane-wave DFT calculation with PBE was carried out for a relaxed CoRuW crystal.

Calculated values
The density of states at the Fermi level comes out at 17.91 states/eV per cell. The total magnetization is 0.015 μB per formula unit. For the energy above the most stable polymorph in this dataset, the calculation gives 174 meV/atom.

a = 7.3671 Å, b = 7.3671 Å, c = 7.3671 Å
α = 135.15°, β = 84.40°, γ = 112.88°
Positions (direct):
Co 0.0000 0.0000 0.0000
Co 0.0000 0.5000 0.5000
Co 0.3941 0.0478 0.4241
Co 0.3941 0.4700 0.8463
Co 0.6237 0.5478 0.1537
Co 0.6237 0.9700 0.5759
Ru 0.0838 0.1562 0.4275
Ru 0.1386 0.6862 0.9524
Ru 0.2781 0.5353 0.2427
Ru 0.2926 0.0353 0.7573
Ru 0.7287 0.6562 0.5725
Ru 0.7338 0.1862 0.0476
W 0.0012 0.1901 0.8005
W 0.0012 0.7008 0.3111
W 0.3896 0.2008 0.1995
W 0.3896 0.6901 0.6889
W 0.6614 0.9576 0.2038
W 0.7538 0.4576 0.7962

(21)
A plane-wave DFT calculation with PBE was carried out for a relaxed Co2RuW crystal.

Calculated values
The density of states at the Fermi level comes out at 4.56 states/eV per cell. The total magnetization is 3.341 μB per formula unit. For the energy above the most stable polymorph in this dataset, the calculation gives 251 meV/atom.

a = 8.6651 Å, b = 8.6651 Å, c = 8.6651 Å
α = 17.88°, β = 17.88°, γ = 17.88°
Positions (direct):
Co 0.0000 0.0000 0.0000
Co 0.2589 0.2589 0.2589
Ru 0.5078 0.5078 0.5078
W 0.7537 0.7537 0.7537

(22)
A plane-wave DFT calculation with PBE was carried out for a relaxed Co2RuW crystal.

Calculated values
The density of states at the Fermi level comes out at 4.97 states/eV per cell. The total magnetization is 2.186 μB per formula unit. For the energy above the most stable polymorph in this dataset, the calculation gives 120 meV/atom.

a = 2.7201 Å, b = 3.5705 Å, c = 5.3355 Å
α = 90.00°, β = 90.00°, γ = 90.00°
Positions (direct):
Co 0.0000 0.0000 0.0000
Co 0.5000 0.5000 0.2172
Ru 0.0000 0.0000 0.4690
W 0.5000 0.5000 0.7457

(23)
A plane-wave DFT calculation with PBE was carried out for a relaxed Co2RuW crystal.

Calculated values
The density of states at the Fermi level comes out at 4.20 states/eV per cell. The total magnetization is 0.317 μB per formula unit. For the energy above the most stable polymorph in this dataset, the calculation gives 42 meV/atom.

a = 4.5343 Å, b = 4.5343 Å, c = 4.5343 Å
α = 131.88°, β = 131.88°, γ = 70.41°
Positions (direct):
Co 0.2500 0.7500 0.5000
Co 0.7500 0.2500 0.5000
Ru 0.0000 0.0000 0.0000
W 0.5000 0.5000 0.0000

(24)
A plane-wave DFT calculation with PBE was carried out for a relaxed Co2RuW crystal.

Calculated values
The density of states at the Fermi level comes out at 5.80 states/eV per cell. The total magnetization is 1.848 μB per formula unit. For the energy above the most stable polymorph in this dataset, the calculation gives 232 meV/atom.

a = 4.2033 Å, b = 4.2033 Å, c = 4.2033 Å
α = 60.00°, β = 60.00°, γ = 60.00°
Positions (direct):
Co 0.0000 0.0000 0.0000
Co 0.2500 0.2500 0.2500
Ru 0.5000 0.5000 0.5000
W 0.7500 0.7500 0.7500

(25)
A plane-wave DFT calculation with PBE was carried out for a relaxed Co4RuW crystal.

Calculated values
The density of states at the Fermi level comes out at 8.17 states/eV per cell. The total magnetization is 5.779 μB per formula unit. The electronic total energy is -50.4 eV/f.u.

a = 4.6765 Å, b = 4.6765 Å, c = 4.6765 Å
α = 60.00°, β = 60.00°, γ = 60.00°
Positions (direct):
Co 0.1248 0.1248 0.1248
Co 0.1248 0.1248 0.6256
Co 0.1248 0.6256 0.1248
Co 0.6256 0.1248 0.1248
Ru 0.7500 0.7500 0.7500
W 0.5000 0.5000 0.5000

(26)
A plane-wave DFT calculation with PBE was carried out for a relaxed Co2Ru2W crystal.

Calculated values
The density of states at the Fermi level comes out at 15.05 states/eV per cell. The total magnetization is 1.972 μB per formula unit. For the energy above the most stable polymorph in this dataset, the calculation gives 122 meV/atom.

a = 7.0413 Å, b = 7.0413 Å, c = 2.6925 Å
α = 90.00°, β = 90.00°, γ = 90.00°
Positions (direct):
Co 0.1697 0.3303 0.0000
Co 0.3303 0.8303 0.0000
Co 0.6697 0.1697 0.0000
Co 0.8303 0.6697 0.0000
Ru 0.1273 0.6273 0.5000
Ru 0.3727 0.1273 0.5000
Ru 0.6273 0.8727 0.5000
Ru 0.8727 0.3727 0.5000
W 0.0000 0.0000 0.5000
W 0.5000 0.5000 0.5000